{"formula": "CsZn2GeIr", "functional": "GGA-PBE", "state": "relaxed", "spacegroup": "No. 123", "magnetic_moment_mub_per_fu": 0.0, "e_form_ev_per_atom": -0.16, "dos_ef_per_ev_cell": 0.866, "lattice_angstrom": [[5.106, 0.000, 0.000], [0.000, 5.106, 0.000], [0.000, 0.000, 4.733]], "species": ["Cs", "Zn", "Zn", "Ge", "Ir"], "fractional_positions": [[0.000, 0.000, 0.000], [0.000, 0.500, 0.500], [0.500, 0.000, 0.500], [0.500, 0.500, 0.000], [0.500, 0.500, 0.500]]}

{"formula": "CsZrGe2Ir", "functional": "GGA-PBE", "state": "relaxed", "spacegroup": "No. 123", "magnetic_moment_mub_per_fu": 2.8, "e_form_ev_per_atom": 1.51, "dos_ef_per_ev_cell": 10.033, "lattice_angstrom": [[5.204, 0.000, 0.000], [0.000, 5.204, 0.000], [0.000, 0.000, 6.184]], "species": ["Cs", "Zr", "Ge", "Ge", "Ir"], "fractional_positions": [[0.000, 0.000, 0.000], [0.000, 0.000, 0.500], [0.000, 0.500, 0.500], [0.500, 0.000, 0.500], [0.500, 0.500, 0.000]]}

{"formula": "Cs2KGe2", "functional": "GGA-PBE", "state": "relaxed", "spacegroup": "No. 139", "magnetic_moment_mub_per_fu": 0.0, "e_form_ev_per_atom": 0.03, "dos_ef_per_ev_cell": 4.950, "relative_energy_mev_per_atom": 83, "lattice_angstrom": [[-2.871, 2.871, 7.254], [2.871, -2.871, 7.254], [2.871, 2.871, -7.254]], "species": ["Cs", "Cs", "K", "Ge", "Ge"], "fractional_positions": [[0.250, 0.750, 0.500], [0.750, 0.250, 0.500], [0.000, 0.000, 0.000], [0.420, 0.420, 0.000], [0.580, 0.580, 0.000]]}

{"formula": "CsKGe4", "functional": "GGA-PBE", "state": "relaxed", "spacegroup": "No. 216", "magnetic_moment_mub_per_fu": 0.0, "e_form_ev_per_atom": 0.13, "dos_ef_per_ev_cell": 8.140, "lattice_angstrom": [[0.000, 4.511, 4.511], [4.511, 0.000, 4.511], [4.511, 4.511, 0.000]], "species": ["Cs", "K", "Ge", "Ge", "Ge", "Ge"], "fractional_positions": [[0.000, 0.000, 0.000], [0.750, 0.750, 0.750], [0.395, 0.395, 0.395], [0.395, 0.395, 0.816], [0.395, 0.816, 0.395], [0.816, 0.395, 0.395]]}

{"formula": "CsK2Ge2", "functional": "GGA-PBE", "state": "relaxed", "spacegroup": "No. 12", "magnetic_moment_mub_per_fu": 0.3, "e_form_ev_per_atom": -0.06, "dos_ef_per_ev_cell": 2.800, "relative_energy_mev_per_atom": 0, "lattice_angstrom": [[7.390, -2.093, 0.000], [7.390, 2.093, 0.000], [-1.263, 0.000, 6.940]], "species": ["Cs", "K", "K", "Ge", "Ge"], "fractional_positions": [[0.000, 0.000, 0.000], [0.348, 0.348, 0.427], [0.652, 0.652, 0.573], [0.272, 0.272, 0.917], [0.728, 0.728, 0.083]]}

{"formula": "CsK2Ge2", "functional": "GGA-PBE", "state": "relaxed", "spacegroup": "No. 139", "magnetic_moment_mub_per_fu": 0.0, "e_form_ev_per_atom": -0.06, "dos_ef_per_ev_cell": 3.122, "relative_energy_mev_per_atom": 3, "lattice_angstrom": [[-3.141, 3.141, 5.225], [3.141, -3.141, 5.225], [3.141, 3.141, -5.225]], "species": ["Cs", "K", "K", "Ge", "Ge"], "fractional_positions": [[0.000, 0.000, 0.000], [0.250, 0.750, 0.500], [0.750, 0.250, 0.500], [0.389, 0.389, 0.000], [0.611, 0.611, 0.000]]}

{"formula": "CsK2Ge2", "functional": "GGA-PBE", "state": "relaxed", "spacegroup": "No. 127", "magnetic_moment_mub_per_fu": 0.4, "e_form_ev_per_atom": 0.12, "dos_ef_per_ev_cell": 7.504, "relative_energy_mev_per_atom": 183, "lattice_angstrom": [[9.690, 0.000, 0.000], [0.000, 9.690, 0.000], [0.000, 0.000, 3.875]], "species": ["Cs", "Cs", "K", "K", "K", "K", "Ge", "Ge", "Ge", "Ge"], "fractional_positions": [[0.000, 0.000, 0.000], [0.500, 0.500, 0.000], [0.189, 0.311, 0.000], [0.311, 0.811, 0.000], [0.689, 0.189, 0.000], [0.811, 0.689, 0.000], [0.092, 0.592, 0.500], [0.408, 0.092, 0.500], [0.592, 0.908, 0.500], [0.908, 0.408, 0.500]]}

{"formula": "CsKGe", "functional": "GGA-PBE", "state": "relaxed", "spacegroup": "No. 71", "magnetic_moment_mub_per_fu": 0.0, "e_form_ev_per_atom": 0.00, "dos_ef_per_ev_cell": 5.341, "relative_energy_mev_per_atom": 0, "lattice_angstrom": [[-2.658, 4.078, 9.344], [2.658, -4.078, 9.344], [2.658, 4.078, -9.344]], "species": ["Cs", "Cs", "K", "K", "Ge", "Ge"], "fractional_positions": [[0.124, 0.124, 0.000], [0.876, 0.876, 0.000], [0.391, 0.391, 0.000], [0.609, 0.609, 0.000], [0.359, 0.000, 0.359], [0.641, 0.000, 0.641]]}